Record 1
AcGdBe | GGA-PBE | optimized geometry

Properties
Crystal system: cubic
DFT total energy (eV per cell): -37.5
Total magnetization (μB per atom): 0.00

Cell lengths 7.1676, 7.1676, 7.1676 Å; angles 90.00, 90.00, 90.00 degrees
Last column: nearest neighbours and their distance in Å.
Space group F-43m (No. 216)
Inequivalent atoms, fractional coordinates:
Ac 0.0000 0.0000 0.0000 x4  4 Be 3.10, 4 Gd 3.10
Gd 0.2500 0.2500 0.2500 x4  4 Ac 3.10
Be 0.2500 0.2500 0.7500 x4  4 Ac 3.10

---

Record 2
AcHfBe | GGA-PBE | optimized geometry

Properties
Crystal system: cubic
DFT total energy (eV per cell): -63.4
Total magnetization (μB per atom): 0.11

Cell lengths 6.7716, 6.7716, 6.7716 Å; angles 90.00, 90.00, 90.00 degrees
Last column: nearest neighbours and their distance in Å.
Space group F-43m (No. 216)
Inequivalent atoms, fractional coordinates:
Ac 0.0000 0.0000 0.0000 x4  4 Be 2.93
Hf 0.0000 0.0000 0.5000 x4  4 Be 2.93
Be 0.2500 0.2500 0.2500 x4  4 Hf 2.93, 4 Ac 2.93

---

Record 3
AcHfBe | GGA-PBE | optimized geometry

Properties
Crystal system: cubic
DFT total energy (eV per cell): -52.7
Total magnetization (μB per atom): 0.12

Cell lengths 7.0671, 7.0671, 7.0671 Å; angles 90.00, 90.00, 90.00 degrees
Last column: nearest neighbours and their distance in Å.
Space group F-43m (No. 216)
Inequivalent atoms, fractional coordinates:
Ac 0.0000 0.0000 0.0000 x4  4 Be 3.06, 4 Hf 3.06
Hf 0.2500 0.2500 0.2500 x4  4 Ac 3.06
Be 0.2500 0.2500 0.7500 x4  4 Ac 3.06

---

Record 4
AcBeHg | GGA-PBE | optimized geometry

Properties
Crystal system: cubic
DFT total energy (eV per cell): -29.1
Total magnetization (μB per atom): 0.11

Cell lengths 7.0874, 7.0874, 7.0874 Å; angles 90.00, 90.00, 90.00 degrees
Last column: nearest neighbours and their distance in Å.
Space group F-43m (No. 216)
Inequivalent atoms, fractional coordinates:
Ac 0.0000 0.0000 0.0000 x4  4 Hg 3.07
Be 0.0000 0.0000 0.5000 x4  4 Hg 3.07
Hg 0.2500 0.2500 0.2500 x4  4 Be 3.07, 4 Ac 3.07

---

Record 5
AcBeHg | GGA-PBE | optimized geometry

Properties
Crystal system: cubic
DFT total energy (eV per cell): -31.5
Total magnetization (μB per atom): 0.02

Cell lengths 6.8615, 6.8615, 6.8615 Å; angles 90.00, 90.00, 90.00 degrees
Last column: nearest neighbours and their distance in Å.
Space group F-43m (No. 216)
Inequivalent atoms, fractional coordinates:
Ac 0.0000 0.0000 0.0000 x4  4 Be 2.97
Be 0.2500 0.2500 0.2500 x4  4 Hg 2.97, 4 Ac 2.97
Hg 0.0000 0.0000 0.5000 x4  4 Be 2.97

---

Record 6
AcBeHg | GGA-PBE | optimized geometry

Properties
Crystal system: cubic
DFT total energy (eV per cell): -25.9
Total magnetization (μB per atom): 0.00

Cell lengths 7.3210, 7.3210, 7.3210 Å; angles 90.00, 90.00, 90.00 degrees
Last column: nearest neighbours and their distance in Å.
Space group F-43m (No. 216)
Inequivalent atoms, fractional coordinates:
Ac 0.0000 0.0000 0.0000 x4  4 Be 3.17, 4 Hg 3.17
Be 0.2500 0.2500 0.7500 x4  4 Ac 3.17
Hg 0.2500 0.2500 0.2500 x4  4 Ac 3.17

---

Record 7
AcHoBe | GGA-PBE | optimized geometry

Properties
Crystal system: cubic
DFT total energy (eV per cell): -45.3
Total magnetization (μB per atom): 0.00

Cell lengths 7.0969, 7.0969, 7.0969 Å; angles 90.00, 90.00, 90.00 degrees
Last column: nearest neighbours and their distance in Å.
Space group F-43m (No. 216)
Inequivalent atoms, fractional coordinates:
Ac 0.0000 0.0000 0.0000 x4  4 Be 3.07
Ho 0.0000 0.0000 0.5000 x4  4 Be 3.07
Be 0.2500 0.2500 0.2500 x4  4 Ac 3.07, 4 Ho 3.07

---

Record 8
AcHoBe | GGA-PBE | optimized geometry

Properties
Crystal system: cubic
DFT total energy (eV per cell): -36.5
Total magnetization (μB per atom): 0.00

Cell lengths 7.1602, 7.1602, 7.1602 Å; angles 90.00, 90.00, 90.00 degrees
Last column: nearest neighbours and their distance in Å.
Space group F-43m (No. 216)
Inequivalent atoms, fractional coordinates:
Ac 0.0000 0.0000 0.0000 x4  4 Ho 3.10, 4 Be 3.10
Ho 0.2500 0.2500 0.2500 x4  4 Ac 3.10
Be 0.2500 0.2500 0.7500 x4  4 Ac 3.10

---

Record 9
AcBeIr | GGA-PBE | optimized geometry

Properties
Crystal system: cubic
DFT total energy (eV per cell): -65.4
Total magnetization (μB per atom): 0.00

Cell lengths 6.3932, 6.3932, 6.3932 Å; angles 90.00, 90.00, 90.00 degrees
Last column: nearest neighbours and their distance in Å.
Space group F-43m (No. 216)
Inequivalent atoms, fractional coordinates:
Ac 0.0000 0.0000 0.0000 x4  4 Be 2.77
Be 0.2500 0.2500 0.2500 x4  4 Ac 2.77, 4 Ir 2.77
Ir 0.0000 0.0000 0.5000 x4  4 Be 2.77

---

Record 10
AcBeIr | GGA-PBE | optimized geometry

Properties
Crystal system: cubic
DFT total energy (eV per cell): -65.6
Total magnetization (μB per atom): 0.00

Cell lengths 6.6396, 6.6396, 6.6396 Å; angles 90.00, 90.00, 90.00 degrees
Last column: nearest neighbours and their distance in Å.
Space group F-43m (No. 216)
Inequivalent atoms, fractional coordinates:
Ac 0.0000 0.0000 0.0000 x4  4 Ir 2.88
Be 0.0000 0.0000 0.5000 x4  4 Ir 2.88
Ir 0.2500 0.2500 0.7500 x4  4 Ac 2.88, 4 Be 2.88

---

Record 11
AcBeIr | GGA-PBE | optimized geometry

Properties
Crystal system: cubic
DFT total energy (eV per cell): -56.8
Total magnetization (μB per atom): 0.00

Cell lengths 6.8403, 6.8403, 6.8403 Å; angles 90.00, 90.00, 90.00 degrees
Last column: nearest neighbours and their distance in Å.
Space group F-43m (No. 216)
Inequivalent atoms, fractional coordinates:
Ac 0.0000 0.0000 0.0000 x4  4 Ir 2.96, 4 Be 2.96
Be 0.2500 0.2500 0.7500 x4  4 Ac 2.96
Ir 0.2500 0.2500 0.2500 x4  4 Ac 2.96

---

Record 12
AcNdBe | GGA-PBE | optimized geometry

Properties
Crystal system: cubic
DFT total energy (eV per cell): -46.1
Total magnetization (μB per atom): 0.00

Cell lengths 7.2063, 7.2063, 7.2063 Å; angles 90.00, 90.00, 90.00 degrees
Last column: nearest neighbours and their distance in Å.
Space group F-43m (No. 216)
Inequivalent atoms, fractional coordinates:
Ac 0.0000 0.0000 0.0000 x4  4 Be 3.12
Nd 0.0000 0.0000 0.5000 x4  4 Be 3.12
Be 0.2500 0.2500 0.2500 x4  4 Ac 3.12, 4 Nd 3.12

---

Repeat the first record exactly.
AcGdBe | GGA-PBE | optimized geometry

Properties
Crystal system: cubic
DFT total energy (eV per cell): -37.5
Total magnetization (μB per atom): 0.00

Cell lengths 7.1676, 7.1676, 7.1676 Å; angles 90.00, 90.00, 90.00 degrees
Last column: nearest neighbours and their distance in Å.
Space group F-43m (No. 216)
Inequivalent atoms, fractional coordinates:
Ac 0.0000 0.0000 0.0000 x4  4 Be 3.10, 4 Gd 3.10
Gd 0.2500 0.2500 0.2500 x4  4 Ac 3.10
Be 0.2500 0.2500 0.7500 x4  4 Ac 3.10